## LiFeBr2F (PBE+U)

Data for a relaxed LiFeBr2F crystal.

Properties
VASP energy   -3.97 eV/atom

Lattice parameters (Å, degrees): 5.340 5.340 3.944 90.00 90.00 90.00
Fractional coordinates of all 5 atoms:
Li  0.000  0.000  0.000
Fe  0.500  0.500  0.500
Br  0.000  0.500  0.500
Br  0.500  0.000  0.500
F  0.500  0.500  0.000